[1]
## Ho12Co6Bi (PBE-GGA)

Data for crystalline Ho12Co6Bi at its relaxed geometry.

Unit cell a=8.3649 b=8.3649 c=8.3649 alpha=109.47 beta=109.47 gamma=109.47
Fractional coordinates of all 19 atoms:
Ho 0.3060 0.1096 0.8036
Ho 0.8036 0.3060 0.1096
Ho 0.8904 0.1964 0.6940
Ho 0.1096 0.8036 0.3060
Ho 0.6940 0.4977 0.8036
Ho 0.8036 0.6940 0.4977
Ho 0.1964 0.3060 0.5023
Ho 0.5023 0.1964 0.3060
Ho 0.3060 0.5023 0.1964
Ho 0.4977 0.8036 0.6940
Ho 0.6940 0.8904 0.1964
Ho 0.1964 0.6940 0.8904
Co 0.5000 0.8871 0.3871
Co 0.1129 0.6129 0.5000
Co 0.8871 0.3871 0.5000
Co 0.6129 0.5000 0.1129
Co 0.3871 0.5000 0.8871
Co 0.5000 0.1129 0.6129
Bi 0.0000 0.0000 0.0000

Results
* calculated formation energy: -0.3018 eV/atom
* calculated total energy: -5.641 eV per atom
* SG: No. 204

---

[2]
## AcRh6 (PBE-GGA)

Data for crystalline AcRh6 at its relaxed geometry.

Unit cell a=5.8852 b=5.8852 c=5.8852 alpha=109.47 beta=109.47 gamma=109.47
Fractional coordinates of all 7 atoms:
Rh 0.2500 0.7500 0.5000
Rh 0.2500 0.5000 0.7500
Rh 0.5000 0.2500 0.7500
Rh 0.7500 0.5000 0.2500
Rh 0.7500 0.2500 0.5000
Rh 0.5000 0.7500 0.2500
Ac 0.0000 0.0000 0.0000

Results
* calculated formation energy: 0.2581 eV/atom
* calculated total energy: -6.630 eV per atom
* SG: No. 229

---

[3]
## InFe3Co (PBE-GGA)

Data for crystalline InFe3Co at its relaxed geometry.

Unit cell a=4.3669 b=4.3669 c=4.3669 alpha=90.00 beta=90.00 gamma=90.00
Fractional coordinates of all 5 atoms:
Fe 0.0000 0.0000 0.5000
Fe 0.5000 0.0000 0.0000
Fe 0.0000 0.5000 0.0000
In 0.5000 0.5000 0.5000
Co 0.0000 0.0000 0.0000

Results
* ΔE to the lowest computed polymorph: 0 meV/atom
* calculated formation energy: 0.7530 eV/atom
* calculated total energy: -6.293 eV per atom
* SG: No. 221

---

[4]
## BaMoW2 (PBE-GGA)

Data for crystalline BaMoW2 at its relaxed geometry.

Unit cell a=4.2263 b=3.0105 c=7.5489 alpha=79.83 beta=90.00 gamma=90.00
Fractional coordinates of all 4 atoms:
W 0.0000 0.0347 0.9019
W 0.0000 0.4653 0.5981
Ba 0.5000 0.2500 0.2500
Mo 0.5000 0.7500 0.7500

Results
* ΔE to the lowest computed polymorph: 78 meV/atom
* calculated formation energy: 0.9252 eV/atom
* calculated total energy: -8.740 eV per atom
* SG: No. 10

---

[5]
## Mo3Pb (PBE-GGA)

Data for crystalline Mo3Pb at its relaxed geometry.

Unit cell a=2.9216 b=2.9216 c=9.0940 alpha=90.00 beta=90.00 gamma=110.53
Fractional coordinates of all 4 atoms:
Mo 0.5000 0.5000 0.7500
Mo 0.0000 0.0000 0.5227
Mo 0.0000 0.0000 0.9773
Pb 0.5000 0.5000 0.2500

Results
* calculated formation energy: 0.5253 eV/atom
* calculated total energy: -8.525 eV per atom
* SG: No. 65

---

[6]
## Nd2ThIr9 (PBE-GGA)

Data for crystalline Nd2ThIr9 at its relaxed geometry.

Unit cell a=5.3700 b=5.3700 c=9.4136 alpha=73.43 beta=73.43 gamma=60.00
Fractional coordinates of all 12 atoms:
Nd 0.8597 0.8597 0.4210
Nd 0.1403 0.1403 0.5790
Ir 0.4199 0.4199 0.2435
Ir 0.0834 0.5801 0.7565
Ir 0.9166 0.4199 0.2435
Ir 0.4199 0.9166 0.2435
Ir 0.5801 0.5801 0.7565
Ir 0.5801 0.0834 0.7565
Ir 0.3325 0.3325 0.0025
Ir 0.5000 0.5000 0.5000
Ir 0.6675 0.6675 0.9975
Th 0.0000 0.0000 0.0000

Results
* calculated formation energy: -0.5768 eV/atom
* calculated total energy: -8.635 eV per atom
* SG: No. 166

---

[7]
## Er4Cu3Ag (PBE-GGA)

Data for crystalline Er4Cu3Ag at its relaxed geometry.

Unit cell a=3.4736 b=4.9408 c=9.8418 alpha=90.00 beta=90.00 gamma=90.00
Fractional coordinates of all 8 atoms:
Er 0.0000 0.0000 0.0000
Er 0.0000 0.5000 0.7403
Er 0.0000 0.0000 0.5000
Er 0.0000 0.5000 0.2597
Cu 0.5000 0.0000 0.2505
Cu 0.5000 0.5000 0.5000
Cu 0.5000 0.0000 0.7495
Ag 0.5000 0.5000 0.0000

Results
* calculated formation energy: -0.2817 eV/atom
* calculated total energy: -4.456 eV per atom
* SG: No. 47

---

[8]
## Ac2GaGe4Rh3 (PBE-GGA)

Data for crystalline Ac2GaGe4Rh3 at its relaxed geometry.

Unit cell a=4.4275 b=4.4275 c=10.3101 alpha=90.00 beta=90.00 gamma=90.00
Fractional coordinates of all 10 atoms:
Rh 0.0000 0.0000 0.5000
Rh 0.0000 0.5000 0.1194
Rh 0.5000 0.0000 0.8806
Ge 0.5000 0.5000 0.0000
Ge 0.5000 0.0000 0.6383
Ge 0.0000 0.5000 0.3617
Ge 0.0000 0.0000 0.0000
Ac 0.5000 0.0000 0.2455
Ac 0.0000 0.5000 0.7545
Ga 0.5000 0.5000 0.5000

Results
* calculated formation energy: -0.7459 eV/atom
* calculated total energy: -5.923 eV per atom
* SG: No. 115

---

[9]
## TaIn2Te (PBE-GGA)

Data for crystalline TaIn2Te at its relaxed geometry.

Unit cell a=5.4572 b=3.2659 c=5.8985 alpha=66.46 beta=90.00 gamma=90.00
Fractional coordinates of all 4 atoms:
In 0.0000 0.3483 0.4851
In 0.0000 0.1517 0.0149
Ta 0.5000 0.2500 0.2500
Te 0.5000 0.7500 0.7500

Results
* formation energy without anion corrections: 0.4242 eV/atom
* ΔE to the lowest computed polymorph: 347 meV/atom
* calculated total energy: -4.694 eV per atom
* SG: No. 10

---

[10]
## TaCdIr3 (PBE-GGA)

Data for crystalline TaCdIr3 at its relaxed geometry.

Unit cell a=4.7172 b=4.7172 c=4.7172 alpha=90.00 beta=90.00 gamma=90.00
Fractional coordinates of all 5 atoms:
Ir 0.0000 0.5000 0.0000
Ir 0.5000 0.0000 0.0000
Ir 0.0000 0.0000 0.5000
Cd 0.0000 0.0000 0.0000
Ta 0.5000 0.5000 0.5000

Results
* ΔE to the lowest computed polymorph: 960 meV/atom
* calculated formation energy: 2.1889 eV/atom
* calculated total energy: -5.681 eV per atom
* SG: No. 221

---

[11]
## InNiTe (PBE-GGA)

Data for crystalline InNiTe at its relaxed geometry.

Unit cell a=4.5368 b=4.5368 c=4.5368 alpha=60.00 beta=60.00 gamma=60.00
Fractional coordinates of all 3 atoms:
Ni 0.7500 0.7500 0.7500
Te 0.0000 0.0000 0.0000
In 0.5000 0.5000 0.5000

Results
* formation energy without anion corrections: -0.0775 eV/atom
* ΔE to the lowest computed polymorph: 40 meV/atom
* calculated total energy: -3.965 eV per atom
* SG: No. 216

---

[12]
## Ni3PdPt (PBE-GGA)

Data for crystalline Ni3PdPt at its relaxed geometry.

Unit cell a=4.5525 b=4.5525 c=4.5525 alpha=90.00 beta=90.00 gamma=90.00
Fractional coordinates of all 5 atoms:
Pd 0.5000 0.5000 0.5000
Pt 0.0000 0.0000 0.0000
Ni 0.0000 0.0000 0.5000
Ni 0.5000 0.0000 0.0000
Ni 0.0000 0.5000 0.0000

Results
* ΔE to the lowest computed polymorph: 1159 meV/atom
* calculated formation energy: 1.1853 eV/atom
* calculated total energy: -4.530 eV per atom
* SG: No. 221